A plane-wave DFT calculation with GGA+U was carried out for an optimized crystal structure of SrMoAsO5.

## Properties
E	-6.666	eV per atom
M_tot	2.98	μB per formula unit
density of states at the Fermi level	2.0	states/eV/cell

a = 7.070 Å, b = 9.509 Å, c = 7.566 Å
α = 90.00°, β = 113.76°, γ = 90.00°
Space group C2/c (No. 15)
Unique sites:
Sr  0.000  0.170  0.250 [4 per cell]
Mo  0.000  0.500  0.000 [4 per cell]
As  0.000  0.184  0.750 [4 per cell]
O  0.000  0.414  0.250 [4 per cell]
O  0.106  0.287  0.623 [8 per cell]
O  0.175  0.072  0.918 [8 per cell]